1.
# CeSm3Tm3

CeSm3Tm3 after structural relaxation (GGA-PBE, Alexandria).

* VASP energy: -4.5678 eV/atom
* crystal system: monoclinic

Cell and atoms, written as extended XYZ:
```
14
Lattice="-5.5279 -1.1651 -5.7541 -4.5778 -4.1371 5.1916 -3.2776 6.0438 1.9255" Properties=species:S:1:pos:R:3 pbc="T T T"
Ce -6.2561 4.4744 1.7580
Ce -7.1271 -3.7329 -0.3949
Sm -12.5568 -0.7748 0.8796
Sm -3.5766 0.9156 -2.3934
Sm -3.1025 -0.5672 3.0677
Sm -9.8067 -0.1741 3.7564
Sm -10.2807 1.3087 -1.7047
Sm -0.8265 1.5164 0.4835
Tm -4.5053 1.5255 0.8053
Tm -6.4911 -0.2564 2.9912
Tm -6.8921 0.9979 -1.6281
Tm -4.8409 -3.3141 2.1604
Tm -5.2648 -1.9881 -2.7229
Tm -8.8780 -0.7840 0.5578
```

***

2.
# CeSm2Tm5

CeSm2Tm5 after structural relaxation (GGA-PBE, Alexandria).

* distance to the lowest polymorph of the same formula: 0.00 eV/f.u.
* VASP energy: -4.6727 eV/atom
* crystal system: orthorhombic

Cell and atoms, written as extended XYZ:
```
16
Lattice="-2.7513 2.6814 3.1933 -5.3286 0.0179 -4.6060 -4.9730 -11.8989 5.7069" Properties=species:S:1:pos:R:3 pbc="T T T"
Ce -2.4865 -5.9494 2.8534
Ce -2.6643 0.0090 -2.3030
Sm -5.8120 -6.0806 4.0061
Sm -7.2409 -3.1189 0.2881
Sm -3.3241 -0.1312 1.1539
Sm -9.7287 -9.0683 3.1404
Tm 0.0000 0.0000 0.0000
Tm -5.1508 -5.9405 0.5505
Tm -6.4248 -8.9163 1.9517
Tm -3.8768 -2.9646 -0.8507
Tm -6.5421 -2.9581 -3.1525
Tm -3.7595 -8.9228 4.2535
Tm -7.1053 -9.0794 5.4100
Tm -5.9476 -0.1201 -1.1157
Tm -4.5376 -3.1302 2.6267
Tm -8.5153 -6.0693 1.6676
```

***

Question: Which of these has the highest VASP energy?
Answer: CeSm3Tm3